Compound: HoPuInSn
Source: Alexandria via LeMat-Bulk
Functional: PBE-GGA
Structure: relaxed

Summary:
- DFT formation energy: -0.349 eV per atom
- Symmetry: F-43m

Lattice parameters (Å, degrees): 5.326 5.326 5.326 60.00 60.00 60.00
Positions (direct):
In: 0.750 0.750 0.750
Ho: 0.000 0.000 0.000
Sn: 0.250 0.250 0.250
Pu: 0.500 0.500 0.500

---

Compound: TbHoPuIn
Source: Alexandria via LeMat-Bulk
Functional: PBE-GGA
Structure: relaxed

Summary:
- DFT formation energy: -0.012 eV per atom
- Symmetry: F-43m

Lattice parameters (Å, degrees): 5.419 5.419 5.419 60.00 60.00 60.00
Positions (direct):
In: 0.000 0.000 0.000
Tb: 0.500 0.500 0.500
Ho: 0.750 0.750 0.750
Pu: 0.250 0.250 0.250

---

Compound: HoPuInTc
Source: Alexandria via LeMat-Bulk
Functional: PBE-GGA
Structure: relaxed

Summary:
- DFT formation energy: 0.037 eV per atom
- Symmetry: F-43m

Lattice parameters (Å, degrees): 5.053 5.053 5.053 60.00 60.00 60.00
Positions (direct):
Tc: 0.250 0.250 0.250
In: 0.750 0.750 0.750
Ho: 0.000 0.000 0.000
Pu: 0.500 0.500 0.500

---

Q: What is the formula in the second record?
A: TbHoPuIn